# LaAl2Ag (PBE-GGA, optimized geometry)
data_LaAl2Ag
_symmetry_space_group_name_H-M 'C m c m'
_symmetry_Int_Tables_number 63
_symmetry_space_group_name_Hall '-C 2c 2'
_cell_length_a 4.4182
_cell_length_b 18.6505
_cell_length_c 4.4746
_cell_angle_alpha 90.00
_cell_angle_beta 90.00
_cell_angle_gamma 90.00
loop_
_atom_site_label
_atom_site_type_symbol
_atom_site_fract_x
_atom_site_fract_y
_atom_site_fract_z
La1 La 0.0000 0.1061 0.2500
Al1 Al 0.0000 0.2498 0.7500
Al2 Al 0.0000 0.4654 0.2500
Ag1 Ag 0.0000 0.3270 0.2500
# Final energy in eV for the cell shown: -67.331
# N(E_F) in states/eV/cell: 11.13
# Energy of formation in eV/atom: -0.392
# Energy relative to the lowest polymorph listed for this composition in meV/atom: 0.0